The following is a GGA+U calculation of crystalline PrErMo2O8 at its relaxed geometry, from Alexandria via LeMat-Bulk.

a b c (Å): 5.3139 5.3139 11.2810
angles (deg): 90.00 90.00 90.00
Closest atoms and distances in Å follow each position.
Space group I-4 (No. 82)
Inequivalent atoms, fractional coordinates:
Pr: 0.0000 0.0000 0.0000 x2  8 O 2.44-2.47
Er: 0.0000 0.5000 0.7500 x2  8 O 2.30-2.48
Mo: 0.0000 0.0000 0.5000 x2  4 O 1.82
Mo: 0.0000 0.5000 0.2500 x2  4 O 1.99
O: 0.1673 0.2332 0.5880 x8  1 Mo 1.82
O: 0.1896 0.7624 0.1622 x8  1 Mo 1.99

Summary:
As for the energy: -184.572 eV/cell. The calculation puts the total magnetic moment at 0.167 μB per atom. The value obtained for the calculated volume is 13.3 A^3/atom.